Material: CrAg4O5
Method: DFT, PBE with a Hubbard U
State: relaxed

Lattice parameters (Å, degrees): 6.316 5.786 5.786 72.67 56.93 56.93
Each line ends with the local moment (μB).
Fractional coordinates of all 10 atoms:
Cr  0.073  0.000  0.000  1.49
Ag  0.523  0.313  0.688  0.00
Ag  0.836  0.688  0.687  0.00
Ag  0.211  0.312  0.313  0.00
Ag  0.523  0.687  0.312  0.00
O  0.812  0.377  0.000  -0.03
O  0.189  0.000  0.623  -0.03
O  0.812  0.000  0.377  -0.03
O  0.189  0.623  0.000  -0.03
O  0.342  0.000  0.000  -0.14

Results
E in eV/atom: -4.771
Calculated density in g cm⁻³: 6.30
Magnetization in Bohr magnetons per cell: 1.24